(1)
Nd3Ho8Mg PBE relaxed; total magnetic moment = 0.000 μB per atom; density = 7.01 g/cm3; calculated total energy = -45.4 eV per cell; Fermi-level density of states = 18.4 states/eV per cell; space group = I-42m; formation energy from the elements = 0.590 eV per atom
1.0
7.505 -0.424 -3.525
-4.372 6.949 -1.238
-0.267 0.424 8.287
Nd Mg Ho
3 1 8
Direct
0.500 0.250 0.750 Nd
0.000 0.500 0.500 Nd
0.500 0.750 0.250 Nd
0.000 0.000 0.000 Mg
0.000 0.880 0.627 Ho
0.000 0.627 0.880 Ho
0.253 0.373 0.373 Ho
0.484 0.235 0.235 Ho
0.000 0.249 0.765 Ho
0.000 0.765 0.249 Ho
0.747 0.120 0.120 Ho
0.516 0.751 0.751 Ho



(2)
NdHo7Mg4 PBE relaxed; total magnetic moment = 0.000 μB per atom; density = 6.37 g/cm3; calculated total energy = -40.4 eV per cell; Fermi-level density of states = 13.7 states/eV per cell; space group = C2/m; formation energy from the elements = 0.230 eV per atom
1.0
5.702 0.000 0.000
2.851 9.426 0.039
2.851 0.350 6.773
Mg Ho Nd
4 7 1
Direct
0.435 0.783 0.347 Mg
0.687 0.665 0.960 Mg
0.565 0.217 0.653 Mg
0.313 0.335 0.040 Mg
0.220 0.119 0.440 Ho
0.500 0.000 0.000 Ho
0.327 0.611 0.734 Ho
0.780 0.881 0.560 Ho
0.673 0.389 0.266 Ho
0.056 0.617 0.270 Ho
0.944 0.383 0.730 Ho
0.000 0.000 0.000 Nd



(3)
Nd2HoMg6 PBE relaxed; total magnetic moment = 0.000 μB per atom; density = 4.11 g/cm3; calculated total energy = -24.5 eV per cell; Fermi-level density of states = 5.7 states/eV per cell; space group = P6/mmm; formation energy from the elements = -0.089 eV per atom
1.0
3.327 0.000 0.001
0.000 7.945 4.569
-0.001 0.016 9.166
Mg Nd Ho
6 2 1
Direct
0.499 0.000 0.670 Mg
0.500 0.670 0.330 Mg
0.500 0.330 0.670 Mg
0.501 0.000 0.330 Mg
0.501 0.330 0.000 Mg
0.499 0.670 0.000 Mg
0.000 0.667 0.667 Nd
0.000 0.333 0.333 Nd
0.000 0.000 0.000 Ho



(4)
Nd4HoMg PBE relaxed; total magnetic moment = 0.000 μB per atom; E above lowest polymorph = 81 meV per atom; density = 6.45 g/cm3; calculated total energy = -49.8 eV per cell; Fermi-level density of states = 17.6 states/eV per cell; space group = C2/c; formation energy from the elements = 0.061 eV per atom
1.0
-5.644 0.536 -6.934
-3.244 -4.751 3.195
0.853 6.767 5.153
Nd Mg Ho
8 2 2
Direct
0.974 0.749 0.107 Nd
0.901 0.632 0.632 Nd
0.633 0.358 0.107 Nd
0.367 0.642 0.893 Nd
0.230 0.999 0.632 Nd
0.770 0.001 0.368 Nd
0.026 0.251 0.893 Nd
0.099 0.368 0.368 Nd
0.406 0.656 0.313 Mg
0.594 0.344 0.687 Mg
0.352 0.102 0.204 Ho
0.648 0.898 0.796 Ho



(5)
Nd3HoMg PBE relaxed; total magnetic moment = 0.000 μB per atom; E above lowest polymorph = 54 meV per atom; density = 6.12 g/cm3; calculated total energy = -39.8 eV per cell; Fermi-level density of states = 15.8 states/eV per cell; space group = Pmmn; formation energy from the elements = 0.118 eV per atom
1.0
-0.907 2.969 -2.272
5.993 -9.392 -1.628
-8.842 -5.100 -3.133
Nd Mg Ho
6 2 2
Direct
0.282 0.766 0.997 Nd
0.638 0.444 0.250 Nd
0.282 0.766 0.503 Nd
0.718 0.234 0.003 Nd
0.362 0.556 0.750 Nd
0.718 0.234 0.497 Nd
0.237 0.243 0.750 Mg
0.763 0.757 0.250 Mg
0.139 0.944 0.750 Ho
0.861 0.056 0.250 Ho



(6)
NdHo4Mg2 PBE relaxed; total magnetic moment = 0.000 μB per atom; E above lowest polymorph = 0 meV per atom; density = 6.66 g/cm3; calculated total energy = -26.0 eV per cell; Fermi-level density of states = 7.1 states/eV per cell; space group = Cmmm; formation energy from the elements = 0.039 eV per atom
1.0
-1.678 2.989 -0.599
-0.464 -0.934 -3.362
-14.792 -7.129 5.864
Ho Mg Nd
4 2 1
Direct
0.000 0.353 0.705 Ho
0.500 0.076 0.152 Ho
0.000 0.647 0.295 Ho
0.500 0.924 0.848 Ho
0.500 0.787 0.573 Mg
0.500 0.213 0.427 Mg
0.000 0.500 0.000 Nd